This record from Alexandria describes an optimized crystal structure of Ba2SnOsO6. The functional is PBE-GGA.

```
data_Ba2SnOsO6
_chemical_formula_sum 'Ba2 Sn1 Os1 O6'
_cell_length_a 5.6673
_cell_length_b 5.3268
_cell_length_c 6.9321
_cell_angle_alpha 62.83
_cell_angle_beta 65.86
_cell_angle_gamma 90.01
_space_group_name_H-M_alt 'P 1'
_space_group_IT_number 1
_space_group_name_Hall 'P 1'
loop_
_atom_site_label
_atom_site_fract_x
_atom_site_fract_y
_atom_site_fract_z
O1 0.6768 0.6559 0.1155
Sn1 0.0000 0.0000 0.0000
Os1 0.5000 0.5000 0.0000
O2 0.2079 0.6564 0.1155
Ba1 0.7355 0.2490 0.5289
O3 0.8240 0.8913 0.3516
Ba2 0.2645 0.7510 0.4711
O4 0.3232 0.3441 0.8845
O5 0.7921 0.3436 0.8845
O6 0.1760 0.1087 0.6484
```

Values from the calculation:
- Energy: -67.01 eV/cell
- Symmetry: C2/m (12)
- Fermi-level density of states: 0.102 states/eV/atom